VASP calculation (PBEsol) on a relaxed structure of ScP2Ir.

The calculation puts the formation energy from the elements at -674 meV per atom.

The space group is Immm (No. 71) and the conventional cell measures 3.7932, 5.2151 and 6.3269 Å, with angles of 90.00, 90.00 and 90.00 degrees. The inequivalent atoms are Sc at (0.0000, 0.0000, 0.0000), P at (0.0000, 0.5000, 0.2149) and Ir at (0.0000, 0.0000, 0.5000).



VASP calculation (PBEsol) on a relaxed structure of Sb2HRu.

The total DFT energy (no corrections) comes out at -5.32 eV per atom.

The space group is Fm-3m (No. 225) and the conventional cell measures 6.3259, 6.3259 and 6.3259 Å, with angles of 90.00, 90.00 and 90.00 degrees. The inequivalent atoms are Sb at (0.2500, 0.2500, 0.2500), H at (0.0000, 0.0000, 0.0000) and Ru at (0.0000, 0.0000, 0.5000).



VASP calculation (PBEsol) on a relaxed structure of Co2SbOs.

Its uncorrected formation energy is 1.6 eV per formula unit.

The space group is P4/mmm (No. 123) and the conventional cell measures 2.8093, 2.8093 and 6.9567 Å, with angles of 90.00, 90.00 and 90.00 degrees. The inequivalent atoms are Co at (0.0000, 0.0000, 0.2314), Sb at (0.5000, 0.5000, 0.5000) and Os at (0.5000, 0.5000, 0.0000).



VASP calculation (PBEsol) on a relaxed structure of Sc5CCl8.

Its uncorrected formation energy is -26.2 eV per formula unit.

The space group is C2/m (No. 12) and the conventional cell measures 17.8084, 3.4792 and 12.0147 Å, with angles of 90.00, 130.21 and 90.00 degrees. The inequivalent atoms are Sc at (0.0000, 0.0000, 0.0000), Sc at (0.0110, 0.5000, 0.3854), Sc at (0.1616, 0.0000, 0.6729), C at (0.0000, 0.0000, 0.5000), Cl at (0.0266, 0.0000, 0.2337), Cl at (0.1324, 0.5000, 0.1064), Cl at (0.1725, 0.5000, 0.8350) and Cl at (0.1990, 0.5000, 0.5628).



VASP calculation (PBEsol) on a relaxed structure of KReAu2.

The calculation puts the formation energy from the elements at 1141 meV per atom.

The space group is Immm (No. 71) and the conventional cell measures 4.7167, 4.8850 and 6.8216 Å, with angles of 90.00, 90.00 and 90.00 degrees. The inequivalent atoms are K at (0.0000, 0.0000, 0.0000), Re at (0.0000, 0.0000, 0.5000) and Au at (0.0000, 0.5000, 0.2389).



VASP calculation (PBEsol) on a relaxed structure of ZrCr.

The calculation puts the formation energy from the elements at 233 meV per atom.

The space group is Cm (No. 8) and the conventional cell measures 10.4799, 3.0842 and 6.3360 Å, with angles of 90.00, 107.69 and 90.00 degrees. The inequivalent atoms are Zr at (0.0000, 0.0000, 0.0000), Zr at (0.0005, 0.0000, 0.4792), Zr at (0.1913, 0.5000, 0.8361), Cr at (0.2008, 0.5000, 0.3404), Cr at (0.3192, 0.0000, 0.1794) and Cr at (0.3260, 0.0000, 0.6251).



VASP calculation (PBEsol) on a relaxed structure of NbIrN2F.

Its uncorrected formation energy is 3.3 eV per formula unit.

The space group is P4/mmm (No. 123) and the conventional cell measures 3.8554, 3.8554 and 4.0772 Å, with angles of 90.00, 90.00 and 90.00 degrees. The inequivalent atoms are Nb at (0.0000, 0.0000, 0.0000), Ir at (0.5000, 0.5000, 0.5000), N at (0.0000, 0.5000, 0.5000) and F at (0.5000, 0.5000, 0.0000).



VASP calculation (PBEsol) on a relaxed structure of LaNb2F.

Its uncorrected formation energy is 2.1 eV per formula unit.

The space group is Fm-3m (No. 225) and the conventional cell measures 6.5769, 6.5769 and 6.5769 Å, with angles of 90.00, 90.00 and 90.00 degrees. The inequivalent atoms are La at (0.0000, 0.0000, 0.0000), Nb at (0.2500, 0.2500, 0.2500) and F at (0.0000, 0.0000, 0.5000).



no.,total magnetization (μB per formula unit)
1,0.0
2,0.0
3,1.5
4,0.0
5,3.1
6,0.3
7,1.5
8,0.0